Entry 1:
{
  "formula": "Hf3PtCl",
  "functional": "PBE",
  "state": "optimized geometry",
  "energy_ev_per_cell": -37.6,
  "e_form_raw_ev_per_atom": 0.03,
  "space_group": "No. 221",
  "magmom_total_mub_per_atom": 0.000,
  "lattice": [[-4.6235, -0.3686, -0.1480], [0.0653, -2.4106, 3.9648], [-0.3918, 3.9482, 2.4070]],
  "species": ["Hf", "Hf", "Hf", "Pt", "Cl"],
  "fractional_positions": [[0.0000, 0.5000, 0.0000], [0.0000, 0.0000, 0.5000], [0.5000, 0.0000, 0.0000], [0.5000, 0.5000, 0.5000], [0.0000, 0.0000, 0.0000]]
}

Entry 2:
{
  "formula": "BaNaY3",
  "functional": "PBE",
  "state": "optimized geometry",
  "delta_e_f_kj_per_mol_fu": 317,
  "energy_ev_per_cell": -19.4,
  "space_group": "No. 221",
  "magmom_total_mub_per_atom": 0.000,
  "lattice": [[5.8279, 0.0000, 0.0000], [0.0000, 5.8279, 0.0000], [0.0000, 0.0000, 5.8279]],
  "species": ["Y", "Y", "Y", "Na", "Ba"],
  "fractional_positions": [[0.0000, 0.5000, 0.0000], [0.0000, 0.0000, 0.5000], [0.5000, 0.0000, 0.0000], [0.0000, 0.0000, 0.0000], [0.5000, 0.5000, 0.5000]]
}